A plane-wave DFT calculation with GGA-PBE was carried out for BaCd4Sn3 after structural relaxation.

**Symmetry**: P4/mmm, No. 123
**M_tot**: 0.000 μB per cell

Cell: 5.143 5.143 8.918 Å, 90.00 90.00 90.00°
Sites, in units of the cell vectors:
Cd 0.500 0.000 0.177
Cd 0.000 0.500 0.823
Cd 0.500 0.000 0.823
Cd 0.000 0.500 0.177
Sn 0.500 0.500 0.340
Sn 0.000 0.000 0.000
Sn 0.500 0.500 0.660
Ba 0.000 0.000 0.500

A plane-wave DFT calculation with GGA-PBE was carried out for Ba2Cd6Sn after structural relaxation.

**Symmetry**: P-3m1, No. 164
**M_tot**: 0.000 μB per cell

Cell: 6.723 6.721 6.721 Å, 60.05 90.04 90.04°
Sites, in units of the cell vectors:
Cd 0.344 0.820 0.360
Cd 0.656 0.640 0.180
Cd 0.657 0.180 0.180
Cd 0.343 0.820 0.820
Cd 0.344 0.360 0.820
Cd 0.656 0.180 0.640
Ba 0.847 0.667 0.667
Ba 0.153 0.333 0.333
Sn 0.000 0.000 0.000

A plane-wave DFT calculation with GGA-PBE was carried out for Ba3Cd2Sn3 after structural relaxation.

**Symmetry**: Cmcm, No. 63
**M_tot**: 0.000 μB per cell

Cell: 5.295 6.651 17.092 Å, 90.00 90.00 113.46°
Sites, in units of the cell vectors:
Sn 0.613 0.227 0.034
Sn 0.613 0.227 0.466
Sn 0.387 0.773 0.966
Sn 0.322 0.644 0.250
Sn 0.678 0.356 0.750
Sn 0.387 0.773 0.534
Cd 0.205 0.409 0.096
Cd 0.795 0.591 0.596
Cd 0.205 0.409 0.404
Cd 0.795 0.591 0.904
Ba 0.623 0.246 0.250
Ba 0.902 0.804 0.392
Ba 0.098 0.196 0.892
Ba 0.902 0.804 0.108
Ba 0.098 0.196 0.608
Ba 0.377 0.754 0.750

A plane-wave DFT calculation with GGA-PBE was carried out for BaCdSn after structural relaxation.

**Symmetry**: C2/m, No. 12
**M_tot**: 0.000 μB per cell

Cell: 6.629 6.629 8.530 Å, 50.13 50.13 46.88°
Sites, in units of the cell vectors:
Ba 0.546 0.546 0.705
Ba 0.454 0.454 0.295
Cd 0.159 0.159 0.275
Cd 0.841 0.841 0.725
Sn 0.839 0.839 0.102
Sn 0.161 0.161 0.898

A plane-wave DFT calculation with GGA-PBE was carried out for BaCdSn after structural relaxation.

**Symmetry**: P3m1, No. 156
**M_tot**: 0.000 μB per cell

Cell: 5.069 4.923 4.923 Å, 120.00 90.00 90.00°
Sites, in units of the cell vectors:
Sn 0.168 0.000 0.000
Cd 0.166 0.667 0.333
Ba 0.667 0.333 0.667

A plane-wave DFT calculation with GGA-PBE was carried out for Ba3Cd3Sn8 after structural relaxation.

**Symmetry**: Immm, No. 71
**M_tot**: 0.000 μB per cell

Cell: 5.172 9.714 9.714 Å, 72.41 74.56 74.56°
Sites, in units of the cell vectors:
Cd 0.500 0.000 0.000
Cd 0.000 0.151 0.849
Cd 0.000 0.849 0.151
Sn 0.863 0.789 0.486
Sn 0.655 0.053 0.637
Sn 0.863 0.486 0.789
Sn 0.345 0.947 0.363
Sn 0.137 0.211 0.514
Sn 0.655 0.637 0.053
Sn 0.137 0.514 0.211
Sn 0.345 0.363 0.947
Ba 0.213 0.787 0.787
Ba 0.787 0.213 0.213
Ba 0.500 0.500 0.500

A plane-wave DFT calculation with GGA-PBE was carried out for Ba2Cd3Sn5 after structural relaxation.

**Offset from the most stable computed form**: 0 meV/atom
**Symmetry**: Ibam, No. 72
**M_tot**: 0.000 μB per cell

Cell: 7.233 10.043 10.043 Å, 71.84 68.89 68.89°
Sites, in units of the cell vectors:
Sn 0.750 0.500 0.500
Sn 0.495 0.755 0.755
Sn 0.617 0.748 0.018
Sn 0.005 0.245 0.245
Sn 0.883 0.982 0.252
Sn 0.383 0.252 0.982
Sn 0.250 0.500 0.500
Sn 0.117 0.018 0.748
Sn 0.995 0.755 0.755
Sn 0.505 0.245 0.245
Cd 0.250 0.000 0.000
Cd 0.628 0.497 0.247
Cd 0.750 0.000 0.000
Cd 0.128 0.247 0.497
Cd 0.872 0.753 0.503
Cd 0.372 0.503 0.753
Ba 0.124 0.626 0.126
Ba 0.624 0.126 0.626
Ba 0.876 0.374 0.874
Ba 0.376 0.874 0.374

A plane-wave DFT calculation with GGA-PBE was carried out for Ba8CdSn2 after structural relaxation.

**Symmetry**: C2/m, No. 12
**M_tot**: 0.007 μB per cell

Cell: 5.938 8.254 11.379 Å, 104.88 105.13 90.00°
Sites, in units of the cell vectors:
Ba 0.967 0.213 0.935
Ba 0.793 0.693 0.587
Ba 0.595 0.447 0.191
Ba 0.033 0.787 0.065
Ba 0.207 0.307 0.413
Ba 0.663 0.957 0.326
Ba 0.337 0.043 0.674
Ba 0.405 0.553 0.809
Sn 0.809 0.280 0.619
Sn 0.191 0.720 0.381
Cd 0.500 0.000 0.000

A plane-wave DFT calculation with GGA-PBE was carried out for BaCdSn2 after structural relaxation.

**Symmetry**: Cmmm, No. 65
**M_tot**: 0.000 μB per cell

Cell: 3.591 6.247 6.247 Å, 116.74 90.00 90.00°
Sites, in units of the cell vectors:
Sn 0.500 0.054 0.446
Sn 0.500 0.554 0.946
Cd 0.500 0.554 0.446
Ba 0.000 0.054 0.946

A plane-wave DFT calculation with GGA-PBE was carried out for BaCd2Sn8 after structural relaxation.

**Symmetry**: P4/mmm, No. 123
**M_tot**: 0.000 μB per cell

Cell: 6.278 6.278 9.892 Å, 90.00 90.00 90.00°
Sites, in units of the cell vectors:
Sn 0.754 0.246 0.789
Sn 0.754 0.246 0.211
Sn 0.246 0.754 0.789
Sn 0.246 0.754 0.211
Sn 0.754 0.754 0.789
Sn 0.754 0.754 0.211
Sn 0.246 0.246 0.789
Sn 0.246 0.246 0.211
Cd 0.000 0.500 0.000
Cd 0.500 0.000 0.000
Ba 0.500 0.500 0.500

A plane-wave DFT calculation with GGA-PBE was carried out for Ba5Cd2Sn after structural relaxation.

**Symmetry**: I4/mcm, No. 140
**M_tot**: 2.014 μB per cell

Cell: 8.823 8.823 11.123 Å, 113.37 113.37 90.00°
Sites, in units of the cell vectors:
Cd 0.384 0.884 0.000
Cd 0.116 0.384 0.000
Cd 0.884 0.616 0.000
Cd 0.616 0.116 0.000
Ba 0.529 0.670 0.699
Ba 0.029 0.529 0.699
Ba 0.830 0.971 0.301
Ba 0.170 0.029 0.699
Ba 0.500 0.500 0.000
Ba 0.330 0.830 0.301
Ba 0.971 0.471 0.301
Ba 0.670 0.170 0.699
Ba 0.000 0.000 0.000
Ba 0.471 0.330 0.301
Sn 0.750 0.750 0.500
Sn 0.250 0.250 0.500

A plane-wave DFT calculation with GGA-PBE was carried out for Ba2Cd5Sn3 after structural relaxation.

**Offset from the most stable computed form**: 67 meV/atom
**Symmetry**: P-4m2, No. 115
**M_tot**: 0.000 μB per cell

Cell: 4.985 4.985 12.234 Å, 90.00 90.00 90.00°
Sites, in units of the cell vectors:
Cd 0.500 0.000 0.875
Cd 0.500 0.500 0.000
Cd 0.000 0.000 0.000
Cd 0.500 0.500 0.500
Cd 0.000 0.500 0.125
Ba 0.000 0.500 0.750
Ba 0.500 0.000 0.250
Sn 0.000 0.000 0.500
Sn 0.000 0.500 0.361
Sn 0.500 0.000 0.639

A plane-wave DFT calculation with GGA-PBE was carried out for Ba7Cd2Sn2 after structural relaxation.

**Symmetry**: Cmmm, No. 65
**M_tot**: 0.000 μB per cell

Cell: 8.203 8.518 8.203 Å, 90.00 98.46 90.00°
Sites, in units of the cell vectors:
Ba 0.000 0.729 0.500
Ba 0.500 0.271 0.000
Ba 0.500 0.744 0.500
Ba 0.500 0.256 0.500
Ba 0.000 0.271 0.500
Ba 0.000 0.000 0.000
Ba 0.500 0.729 0.000
Cd 0.278 0.000 0.722
Cd 0.722 0.000 0.278
Sn 0.768 0.500 0.768
Sn 0.232 0.500 0.232

A plane-wave DFT calculation with GGA-PBE was carried out for Ba3Cd3Sn after structural relaxation.

**Symmetry**: C2/m, No. 12
**M_tot**: 0.000 μB per cell

Cell: 5.060 6.715 16.965 Å, 85.46 81.42 67.87°
Sites, in units of the cell vectors:
Cd 0.104 0.870 0.922
Cd 0.896 0.130 0.078
Cd 0.046 0.140 0.767
Cd 0.954 0.860 0.233
Cd 0.866 0.733 0.535
Cd 0.134 0.267 0.465
Ba 0.758 0.725 0.760
Ba 0.457 0.695 0.392
Ba 0.602 0.717 0.080
Ba 0.398 0.283 0.920
Ba 0.242 0.275 0.240
Ba 0.543 0.305 0.608
Sn 0.754 0.100 0.391
Sn 0.246 0.900 0.609

A plane-wave DFT calculation with GGA-PBE was carried out for BaCdSn after structural relaxation.

**Symmetry**: Imma, No. 74
**M_tot**: 0.000 μB per cell

Cell: 6.403 6.651 6.403 Å, 121.30 122.09 58.70°
Sites, in units of the cell vectors:
Sn 0.677 0.443 0.678
Sn 0.677 0.943 0.678
Cd 0.677 0.943 0.178
Cd 0.177 0.943 0.679
Ba 0.046 0.325 0.310
Ba 0.309 0.561 0.047

A plane-wave DFT calculation with GGA-PBE was carried out for BaCdSn after structural relaxation.

**Symmetry**: Imma, No. 74
**M_tot**: 0.000 μB per cell

Cell: 10.868 5.522 7.285 Å, 90.00 90.00 90.00°
Sites, in units of the cell vectors:
Ba 0.750 0.250 0.750
Ba 0.250 0.250 0.750
Ba 0.250 0.750 0.250
Ba 0.750 0.750 0.250
Cd 0.500 0.000 0.500
Cd 0.000 0.500 0.000
Cd 0.500 0.500 0.500
Cd 0.000 0.000 0.000
Sn 0.500 0.250 0.124
Sn 0.000 0.750 0.624
Sn 0.500 0.750 0.876
Sn 0.000 0.250 0.376

A plane-wave DFT calculation with GGA-PBE was carried out for Ba3Cd6Sn5 after structural relaxation.

**Symmetry**: Pmmn, No. 59
**M_tot**: 0.000 μB per cell

Cell: 4.896 11.702 14.648 Å, 90.00 90.00 90.00°
Sites, in units of the cell vectors:
Sn 0.000 0.814 0.000
Sn 0.000 0.522 0.134
Sn 0.000 0.866 0.337
Sn 0.500 0.134 0.163
Sn 0.000 0.522 0.866
Sn 0.500 0.186 0.500
Sn 0.500 0.478 0.366
Sn 0.500 0.134 0.837
Sn 0.000 0.866 0.663
Sn 0.500 0.478 0.634
Cd 0.000 0.616 0.674
Cd 0.500 0.011 0.345
Cd 0.000 0.989 0.155
Cd 0.500 0.540 0.000
Cd 0.500 0.981 0.000
Cd 0.000 0.616 0.326
Cd 0.000 0.989 0.845
Cd 0.500 0.011 0.655
Cd 0.500 0.384 0.826
Cd 0.000 0.460 0.500
Cd 0.000 0.019 0.500
Cd 0.500 0.384 0.174
Ba 0.000 0.246 0.323
Ba 0.500 0.754 0.177
Ba 0.500 0.754 0.823
Ba 0.000 0.246 0.677
Ba 0.500 0.755 0.500
Ba 0.000 0.245 0.000

A plane-wave DFT calculation with GGA-PBE was carried out for Ba3CdSn after structural relaxation.

**Offset from the most stable computed form**: 0 meV/atom
**Symmetry**: P2_1/m, No. 11
**M_tot**: 0.000 μB per cell

Cell: 5.277 9.617 10.916 Å, 111.91 118.88 90.01°
Sites, in units of the cell vectors:
Ba 0.627 0.584 0.377
Ba 0.373 0.416 0.623
Ba 0.073 0.926 0.323
Ba 0.927 0.074 0.677
Ba 0.825 0.203 0.075
Ba 0.175 0.797 0.925
Cd 0.785 0.561 0.035
Cd 0.215 0.439 0.965
Sn 0.590 0.183 0.339
Sn 0.410 0.817 0.661

A plane-wave DFT calculation with GGA-PBE was carried out for BaCdSn4 after structural relaxation.

**Offset from the most stable computed form**: 42 meV/atom
**Symmetry**: Cmmm, No. 65
**M_tot**: 0.000 μB per cell

Cell: 5.261 5.287 7.139 Å, 90.00 111.62 90.00°
Sites, in units of the cell vectors:
Sn 0.809 0.500 0.618
Sn 0.316 0.000 0.631
Sn 0.191 0.500 0.382
Sn 0.684 0.000 0.369
Cd 0.000 0.000 0.000
Ba 0.500 0.500 0.000

A plane-wave DFT calculation with GGA-PBE was carried out for BaCdSn3 after structural relaxation.

**Symmetry**: Pm-3m, No. 221
**M_tot**: 0.000 μB per cell

Cell: 5.630 5.630 5.630 Å, 90.00 90.00 90.00°
Sites, in units of the cell vectors:
Sn 0.000 0.000 0.500
Sn 0.500 0.000 0.000
Sn 0.000 0.500 0.000
Cd 0.000 0.000 0.000
Ba 0.500 0.500 0.500

A plane-wave DFT calculation with GGA-PBE was carried out for Ba2Cd5Sn3 after structural relaxation.

**Offset from the most stable computed form**: 0 meV/atom
**Symmetry**: Ibam, No. 72
**M_tot**: 0.000 μB per cell

Cell: 6.884 9.927 9.927 Å, 76.93 69.71 69.71°
Sites, in units of the cell vectors:
Cd 0.631 0.740 0.998
Cd 0.369 0.260 0.002
Cd 0.131 0.998 0.740
Cd 0.869 0.002 0.260
Cd 0.750 0.500 0.500
Cd 0.492 0.258 0.258
Cd 0.008 0.742 0.742
Cd 0.508 0.742 0.742
Cd 0.250 0.500 0.500
Cd 0.992 0.258 0.258
Sn 0.250 0.000 0.000
Sn 0.124 0.236 0.517
Sn 0.750 0.000 0.000
Sn 0.624 0.517 0.236
Sn 0.876 0.764 0.483
Sn 0.376 0.483 0.764
Ba 0.877 0.368 0.878
Ba 0.377 0.878 0.368
Ba 0.123 0.632 0.122
Ba 0.623 0.122 0.632

no.,energy of formation (eV per atom)
1,-0.244
2,-0.310
3,-0.580
4,-0.534
5,-0.518
6,-0.349
7,-0.378
8,-0.348
9,-0.297
10,0.030
11,-0.345
12,-0.328
13,-0.180
14,-0.398
15,-0.470
16,-0.306
17,-0.398
18,-0.434
19,-0.213
20,0.011
21,-0.396